This record from Alexandria via LeMat-Bulk describes crystalline PaFe2B at its relaxed geometry. The functional is PBE.

The space group is Cmmm (No. 65) and the conventional cell measures 5.198, 6.083 and 3.344 Å, with angles of 90.00, 90.00 and 90.00 degrees. The asymmetric unit holds Pa at (0.000, 0.000, 0.000), Fe at (0.000, 0.306, 0.500) and B at (0.000, 0.500, 0.000).

As for the electronic total energy: -8.396 eV/atom. For the density of states at the Fermi level, the calculation gives 4.6 states/eV/f.u. The value obtained for the formation energy is -12 kJ per mole of atoms.

***

This record from Alexandria via LeMat-Bulk describes crystalline Tl2TcSe at its relaxed geometry. The functional is PBE.

The space group is Amm2 (No. 38) and the conventional cell measures 3.235, 4.633 and 12.797 Å, with angles of 90.00, 90.00 and 90.00 degrees. The asymmetric unit holds Tl at (0.000, 0.000, 0.000), Tl at (0.500, 0.000, 0.310), Tc at (0.500, 0.000, 0.538) and Se at (0.000, 0.000, 0.684).

For the energy relative to the elements, uncorrected, the calculation gives 0.172 eV/atom. As for the electronic total energy: -4.474 eV/atom. For the density of states at the Fermi level, the calculation gives 3.3 states/eV/f.u. As for the energy above the most stable polymorph in this dataset: 0.440 eV/f.u.

***

This record from Alexandria via LeMat-Bulk describes crystalline BeAs2Rh at its relaxed geometry. The functional is PBE.

The space group is C2/m (No. 12) and the conventional cell measures 5.279, 7.023 and 3.216 Å, with angles of 90.00, 92.56 and 90.00 degrees. The asymmetric unit holds Be at (0.000, 0.000, 0.000), As at (0.250, 0.250, 0.500) and Rh at (0.000, 0.500, 0.000).

As for the electronic total energy: -4.991 eV/atom. For the density of states at the Fermi level, the calculation gives 1.7 states/eV/f.u. The value obtained for the formation energy is 10 kJ per mole of atoms.

***

This record from Alexandria via LeMat-Bulk describes crystalline Y2Tl2Ag at its relaxed geometry. The functional is PBE.

The space group is P4/mbm (No. 127) and the conventional cell measures 7.615, 7.615 and 4.576 Å, with angles of 90.00, 90.00 and 90.00 degrees. The asymmetric unit holds Y at (0.166, 0.334, 0.000), Tl at (0.141, 0.641, 0.500) and Ag at (0.000, 0.000, 0.500).

As for the electronic total energy: -4.371 eV/atom. For the density of states at the Fermi level, the calculation gives 4.2 states/eV/f.u. As for the energy above the most stable polymorph in this dataset: 0.000 eV/f.u. The value obtained for the formation energy is -26 kJ per mole of atoms.

***

This record from Alexandria via LeMat-Bulk describes crystalline InBSeBr2 at its relaxed geometry. The functional is PBE.

The space group is P4/mmm (No. 123) and the conventional cell measures 4.870, 4.870 and 4.669 Å, with angles of 90.00, 90.00 and 90.00 degrees. The asymmetric unit holds In at (0.000, 0.000, 0.000), B at (0.500, 0.500, 0.500), Se at (0.500, 0.500, 0.000) and Br at (0.000, 0.500, 0.500).

For the energy relative to the elements, uncorrected, the calculation gives 0.299 eV/atom. As for the electronic total energy: -2.950 eV/atom. For the density of states at the Fermi level, the calculation gives 2.3 states/eV/f.u. As for the energy above the most stable polymorph in this dataset: 0.000 eV/f.u.

***

This record from Alexandria via LeMat-Bulk describes crystalline Al2AsPbBr at its relaxed geometry. The functional is PBE.

The space group is P4/mmm (No. 123) and the conventional cell measures 4.946, 4.946 and 6.211 Å, with angles of 90.00, 90.00 and 90.00 degrees. The asymmetric unit holds Al at (0.000, 0.500, 0.000), As at (0.000, 0.000, 0.000), Pb at (0.000, 0.000, 0.500) and Br at (0.500, 0.500, 0.500).

For the energy relative to the elements, uncorrected, the calculation gives 0.298 eV/atom. As for the electronic total energy: -3.206 eV/atom. For the density of states at the Fermi level, the calculation gives 3.3 states/eV/f.u.